VASP calculation (PBE with a Hubbard U) on a relaxed structure of CrBiF6.

Geometry as extended XYZ:
```
8
Lattice="-2.732 -2.377 -4.099 -3.264 -4.276 0.996 -5.784 0.842 -0.291" Properties=species:S:1:pos:R:3 pbc="T T T"
Cr 0.000 0.000 0.000
Bi -5.890 -2.906 -1.697
F -5.881 -1.106 -0.292
F -6.902 -1.633 -3.299
F -3.835 -2.307 -2.492
F -4.877 -4.178 -0.094
F -5.898 -4.706 -3.101
F -7.944 -3.504 -0.901
```

Summary:
SG: P-1, No. 2
Final energy (eV per atom): -5.417
N(E_F) (states/eV per atom): 0.000
Spin magnetization (μB per atom): 0.37